First-principles (PBE) data for crystalline Ac2TcGe6Ru at its relaxed geometry, as listed in Alexandria.

Geometry as POSCAR:
```
Ac2TcGe6Ru
1.0
6.885 0.122 -0.516
0.122 6.887 -0.517
3.138 3.137 4.432
Ge Ac Tc Ru
6 2 1 1
direct
0.252 0.748 0.000 Ge
0.217 0.217 0.081 Ge
0.785 0.785 0.517 Ge
0.215 0.215 0.483 Ge
0.748 0.252 0.000 Ge
0.783 0.783 0.919 Ge
0.711 0.289 0.500 Ac
0.289 0.711 0.500 Ac
0.000 0.000 0.000 Tc
0.500 0.500 0.000 Ru
```

- magnetization (μB per formula unit) = 0.00
- space group = C2/m (12)
- Fermi-level density of states (states/eV/f.u.) = 8.1
- uncorrected energy (eV per atom) = -5.748
- ρ (kg/m³) = 7794